{
  "formula": "TaAsP3",
  "functional": "PBE",
  "state": "relaxed",
  "polymorph_energy_mev_per_atom": 523,
  "spacegroup": "No. 221",
  "e_form_ev_per_atom": 1.187,
  "final_energy_ev_per_cell": -26.796,
  "density_g_cm3": 6.2,
  "cell": [[4.548, 0.000, 0.000], [0.000, 4.548, 0.000], [0.000, 0.000, 4.548]],
  "species": ["Ta", "As", "P", "P", "P"],
  "frac_coords": [[0.000, 0.000, 0.000], [0.500, 0.500, 0.500], [0.000, 0.500, 0.500], [0.500, 0.000, 0.500], [0.500, 0.500, 0.000]]
}

{
  "formula": "CeMg",
  "functional": "PBE",
  "state": "relaxed",
  "spacegroup": "No. 38",
  "e_form_ev_per_atom": 0.064,
  "final_energy_ev_per_cell": -22.204,
  "density_g_cm3": 5.2,
  "cell": [[5.770, 0.000, 0.000], [0.000, 1.603, 8.533], [0.000, -1.603, 8.533]],
  "species": ["Ce", "Ce", "Ce", "Mg", "Mg", "Mg"],
  "frac_coords": [[0.000, 0.000, 0.000], [0.000, 0.355, 0.355], [0.500, 0.218, 0.218], [0.000, 0.672, 0.672], [0.500, 0.548, 0.548], [0.500, 0.895, 0.895]]
}

{
  "formula": "Sc2Zn",
  "functional": "PBE",
  "state": "relaxed",
  "spacegroup": "No. 164",
  "e_form_ev_per_atom": -0.085,
  "final_energy_ev_per_cell": -14.193,
  "density_g_cm3": 4.1,
  "cell": [[4.722, 0.000, 0.000], [-2.361, 4.089, 0.000], [0.000, 0.000, 3.248]],
  "species": ["Sc", "Sc", "Zn"],
  "frac_coords": [[0.333, 0.667, 0.219], [0.667, 0.333, 0.781], [0.000, 0.000, 0.500]]
}